Compound: La2SmHo4Sc
Source: Alexandria via LeMat-Bulk
Functional: PBE-GGA
Structure: optimized geometry

Calculated values
SG   C2/c, No. 15

abc: 9.448 9.448 6.759
angles: 110.94 110.94 87.96
Atoms (fractional coordinates):
La 0.000 0.000 0.000
La 0.000 0.000 0.500
La 0.000 0.500 0.000
La 0.500 0.000 0.500
Sm 0.000 0.500 0.500
Sm 0.500 0.000 0.000
Ho 0.265 0.735 0.501
Ho 0.265 0.735 0.999
Ho 0.268 0.268 0.020
Ho 0.268 0.268 0.520
Ho 0.732 0.732 0.480
Ho 0.732 0.732 0.980
Ho 0.735 0.265 0.001
Ho 0.735 0.265 0.499
Sc 0.500 0.500 0.000
Sc 0.500 0.500 0.500


Compound: LaTbHo3Sc
Source: Alexandria via LeMat-Bulk
Functional: PBE-GGA
Structure: optimized geometry

Calculated values
SG   Cmcm, No. 63

abc: 7.874 7.874 10.020
angles: 90.00 90.00 143.11
Atoms (fractional coordinates):
La 0.002 0.998 0.750
La 0.998 0.002 0.250
Tb 0.500 0.500 0.000
Tb 0.500 0.500 0.500
Ho 0.169 0.831 0.001
Ho 0.169 0.831 0.499
Ho 0.329 0.671 0.750
Ho 0.671 0.329 0.250
Ho 0.831 0.169 0.501
Ho 0.831 0.169 0.999
Sc 0.330 0.670 0.250
Sc 0.670 0.330 0.750


Compound: La2Tb3Ho6Sc
Source: Alexandria via LeMat-Bulk
Functional: PBE-GGA
Structure: optimized geometry

Calculated values
SG   C2/m, No. 12

abc: 6.144 6.144 11.764
angles: 94.99 94.99 120.01
Atoms (fractional coordinates):
La 0.166 0.834 0.000
La 0.834 0.166 0.000
Tb 0.000 0.000 0.500
Tb 0.334 0.666 0.500
Tb 0.666 0.334 0.500
Ho 0.087 0.416 0.748
Ho 0.254 0.254 0.252
Ho 0.416 0.087 0.748
Ho 0.584 0.913 0.252
Ho 0.746 0.746 0.748
Ho 0.913 0.584 0.252
Sc 0.500 0.500 0.000


no.,ΔH_f (0 K) (eV/atom),M_tot (μB/f.u.),DFT total energy (eV/atom)
1,0.401,0.01,-4.501
2,0.049,0.00,-4.888
3,0.028,0.00,-4.767